Entry 1:
4
Lattice="-2.080 -2.542 -0.006 0.384 -0.307 -3.248 6.243 -5.112 1.220" Properties=species:S:1:pos:R:3 comment="BaZrCo2 (PBE, optimized geometry)" space_group="No. 99" volume_a3_per_cell=88 energy_ev_per_atom=-5.785 n_ef_per_ev_cell=3.9 pbc="T T T"
Co 0.607 -0.497 0.119
Co 0.468 -2.502 -1.369
Zr 2.462 -2.016 0.481
Ba 4.130 -5.501 -0.654

Entry 2:
5
Lattice="4.838 0.000 0.000 0.000 4.838 0.000 0.000 0.000 4.838" Properties=species:S:1:pos:R:3 comment="BaZrCo3 (PBE, optimized geometry)" space_group="No. 221" volume_a3_per_cell=113 energy_ev_per_atom=-5.483 n_ef_per_ev_cell=4.4 pbc="T T T"
Co 0.000 0.000 2.419
Co 2.419 0.000 0.000
Co 0.000 2.419 0.000
Zr 0.000 0.000 0.000
Ba 2.419 2.419 2.419

Entry 3:
4
Lattice="3.316 0.000 0.000 0.000 4.960 0.000 0.000 0.000 4.960" Properties=species:S:1:pos:R:3 comment="BaZrCo2 (PBE, optimized geometry)" space_group="No. 123" volume_a3_per_cell=82 energy_ev_per_atom=-5.597 n_ef_per_ev_cell=5.5 pbc="T T T"
Ba 1.658 0.000 2.480
Co 0.000 0.000 0.000
Co 0.000 2.480 2.480
Zr 1.658 2.480 0.000

Entry 4:
8
Lattice="7.296 0.000 0.000 0.000 7.296 0.000 3.648 3.648 3.297" Properties=species:S:1:pos:R:3 comment="BaZrCo2 (PBE, optimized geometry)" space_group="No. 122" volume_a3_per_cell=175 energy_ev_per_atom=-5.492 n_ef_per_ev_cell=3.0 pbc="T T T"
Zr 3.648 7.296 1.648
Zr 3.648 3.648 0.000
Co 5.139 1.824 0.824
Co 9.120 8.788 2.472
Co 5.472 5.805 2.472
Co 2.157 5.472 0.824
Ba 7.296 3.648 1.648
Ba 0.000 0.000 0.000

Entry 5:
4
Lattice="-1.885 3.641 4.255 -2.368 -1.786 5.110 4.634 -0.970 -3.536" Properties=species:S:1:pos:R:3 comment="BaZrCo2 (PBE, optimized geometry)" space_group="No. 119" volume_a3_per_cell=79 energy_ev_per_atom=-5.376 n_ef_per_ev_cell=5.8 pbc="T T T"
Co 0.000 0.000 0.000
Co 0.069 -0.914 3.129
Ba 0.311 1.799 2.701
Zr -2.127 0.927 4.683

Entry 6:
4
Lattice="-1.353 2.949 -2.808 -0.590 -1.066 -4.115 -6.325 -0.839 -1.114" Properties=species:S:1:pos:R:3 comment="BaZrCo2 (PBE, optimized geometry)" space_group="No. 166" volume_a3_per_cell=95 energy_ev_per_atom=-5.905 n_ef_per_ev_cell=3.3 pbc="T T T"
Ba -2.067 0.261 -2.009
Zr -6.201 0.784 -6.028
Co -5.386 -0.596 -1.311
Co -5.073 0.280 -3.822

Which formula does entry 1 have? BaZrCo2